Entry 1:
## Na2ScBiBr (PBE-GGA)

Data for an optimized crystal structure of Na2ScBiBr.

a b c (Å): 5.187 5.187 5.389
angles (deg): 90.00 90.00 90.00
Space group P4/mmm (No. 123)
Asymmetric unit:
Na1 0.000 0.500 0.000 [2 per cell]
Sc1 0.000 0.000 0.500 [1 per cell]
Bi1 0.500 0.500 0.500 [1 per cell]
Br1 0.000 0.000 0.000 [1 per cell]

* DFT total energy: -16.52 eV per cell
* D(E_F): 3.30 states/eV per cell
* formation energy (no corrections): -38.6 kJ/mol of atoms

Entry 2:
## TcRu4 (PBE-GGA)

Data for an optimized crystal structure of TcRu4.

a b c (Å): 3.582 3.582 12.116
angles (deg): 90.00 90.00 90.00
Space group I4/mmm (No. 139)
Asymmetric unit:
Tc1 0.000 0.000 0.000 [2 per cell]
Ru1 0.000 0.000 0.402 [4 per cell]
Ru2 0.000 0.500 0.250 [4 per cell]

* DFT total energy: -87.96 eV per cell
* D(E_F): 12.98 states/eV per cell
* excess energy over the best structure of this formula in the dataset: 619 meV/atom

Entry 3:
## La3Pm3Nd4 (PBE-GGA)

Data for an optimized crystal structure of La3Pm3Nd4.

a b c (Å): 3.847 13.794 13.745
angles (deg): 90.00 90.00 90.00
Space group Amm2 (No. 38)
Asymmetric unit:
La1 0.000 0.000 0.000 [2 per cell]
La2 0.500 0.248 0.579 [4 per cell]
Pm1 0.000 0.000 0.657 [2 per cell]
Pm2 0.000 0.171 0.329 [4 per cell]
Nd1 0.500 0.000 0.203 [2 per cell]
Nd2 0.500 0.000 0.456 [2 per cell]
Nd3 0.500 0.128 0.827 [4 per cell]

* DFT total energy: -94.38 eV per cell
* D(E_F): 26.98 states/eV per cell